Record 1
Material: DyThN
Method: DFT, GGA-PBE
State: optimized geometry

Structure (CIF):
```
data_DyThN
_chemical_formula_sum 'Dy1 Th1 N1'
_symmetry_space_group_name_H-M 'P 3 m 1'
_symmetry_Int_Tables_number 156
_cell_length_a 3.5574
_cell_length_b 3.5574
_cell_length_c 6.2145
_cell_angle_alpha 90.00
_cell_angle_beta 90.00
_cell_angle_gamma 120.00
loop_
_symmetry_equiv_pos_as_xyz
'x,y,z'
'-y,x-y,z'
'-x+y,-x,z'
'-y,-x,z'
'-x+y,y,z'
'x,x-y,z'
loop_
_atom_site_label
_atom_site_type_symbol
_atom_site_fract_x
_atom_site_fract_y
_atom_site_fract_z
Dy1 Dy 0.0000 0.0000 0.0000
Th1 Th 0.6667 0.3333 0.5509
N1 N 0.3333 0.6667 0.7941
```

Results
As for the uncorrected formation energy: -917 meV per atom. The density of states at the Fermi level comes out at 1.82 states/eV per cell. Its energy above the most stable polymorph in this dataset is 0.000 eV/atom.

---

Record 2
Material: DyTmAs2
Method: DFT, GGA-PBE
State: optimized geometry

Structure (CIF):
```
data_DyTmAs2
_chemical_formula_sum 'Dy3 Tm3 As6'
_symmetry_space_group_name_H-M 'R -3 m'
_symmetry_Int_Tables_number 166
_symmetry_space_group_name_Hall '-R 3 2"'
_cell_length_a 4.0926
_cell_length_b 4.0926
_cell_length_c 20.0272
_cell_angle_alpha 90.00
_cell_angle_beta 90.00
_cell_angle_gamma 120.00
loop_
_atom_site_label
_atom_site_type_symbol
_atom_site_fract_x
_atom_site_fract_y
_atom_site_fract_z
Dy1 Dy 0.0000 0.0000 0.0000
Tm1 Tm 0.0000 0.0000 0.5000
As1 As 0.0000 0.0000 0.2488
```

Results
The density of states at the Fermi level comes out at 1.52 states/eV per cell. Its energy above the most stable polymorph in this dataset is 0.001 eV/atom. The formation energy comes out at -1.5207 eV/atom.

---

Record 3
Material: KRbCa4
Method: DFT, GGA-PBE
State: optimized geometry

Structure (CIF):
```
data_KRbCa4
_chemical_formula_sum 'K4 Rb4 Ca16'
_symmetry_space_group_name_H-M 'F -4 3 m'
_symmetry_Int_Tables_number 216
_symmetry_space_group_name_Hall 'F -4 2 3'
_cell_length_a 10.9321
_cell_length_b 10.9321
_cell_length_c 10.9321
_cell_angle_alpha 90.00
_cell_angle_beta 90.00
_cell_angle_gamma 90.00
loop_
_atom_site_label
_atom_site_type_symbol
_atom_site_fract_x
_atom_site_fract_y
_atom_site_fract_z
K1 K 0.0000 0.0000 0.0000
Rb1 Rb 0.2500 0.2500 0.7500
Ca1 Ca 0.1251 0.1251 0.3749
```

Results
The density of states at the Fermi level comes out at 17.14 states/eV per cell. The formation energy comes out at 0.1783 eV/atom.

---

Record 4
Material: Tb2CuTe
Method: DFT, GGA-PBE
State: optimized geometry

Structure (CIF):
```
data_Tb2CuTe
_chemical_formula_sum 'Tb6 Cu3 Te3'
_symmetry_space_group_name_H-M 'R 3 m'
_symmetry_Int_Tables_number 160
_symmetry_space_group_name_Hall 'R 3 -2"'
_cell_length_a 4.1891
_cell_length_b 4.1891
_cell_length_c 21.4484
_cell_angle_alpha 90.00
_cell_angle_beta 90.00
_cell_angle_gamma 120.00
loop_
_atom_site_label
_atom_site_type_symbol
_atom_site_fract_x
_atom_site_fract_y
_atom_site_fract_z
Tb1 Tb 0.0000 0.0000 0.0000
Tb2 Tb 0.0000 0.0000 0.1908
Cu1 Cu 0.0000 0.0000 0.5945
Te1 Te 0.0000 0.0000 0.4279
```

Results
As for the uncorrected formation energy: -691 meV per atom. The density of states at the Fermi level comes out at 10.68 states/eV per cell. Its energy above the most stable polymorph in this dataset is 0.070 eV/atom.